DFT (PBE-GGA) results for crystalline Ca2ZrSiBr at its relaxed geometry.

Cell: 5.6738 5.6738 5.3927 Å, 90.00 90.00 90.00°
Closest atoms and distances in Å follow each position.
Space group P4/mmm (No. 123)
Symmetry-distinct sites (fractional):
Ca1 0.0000 0.5000 0.0000 (multiplicity 2)  2 Si 2.84
Zr1 0.0000 0.0000 0.5000 (multiplicity 1)  8 Ca 3.91, 4 Br 4.01
Si1 0.5000 0.5000 0.0000 (multiplicity 1)  2 Br 2.70, 4 Ca 2.84
Br1 0.5000 0.5000 0.5000 (multiplicity 1)  2 Si 2.70

Output
E_tot = -16.87 eV per formula unit
Crystal system = tetragonal
Energy relative to the elements, uncorrected = 0.5562 eV/atom